Below is an optimized crystal structure of CrTcTe3, with properties calculated at the PBE-GGA level.

**Formation energy from raw total energies**: 1309 meV/atom
**SG**: Pm-3m, No. 221
**ΔE to the lowest computed polymorph**: 4.22 kcal/mol of atoms

a = 5.173 Å, b = 5.173 Å, c = 5.173 Å
α = 90.00°, β = 90.00°, γ = 90.00°
Sites, in units of the cell vectors:
1 Te 0.500 0.000 0.000
2 Te 0.000 0.000 0.500
3 Te 0.000 0.500 0.000
4 Tc 0.000 0.000 0.000
5 Cr 0.500 0.500 0.500

Below is an optimized crystal structure of CrTc2Te, with properties calculated at the PBE-GGA level.

**Formation energy from raw total energies**: 264 meV/atom
**SG**: P4/mmm, No. 123

a = 4.432 Å, b = 4.432 Å, c = 3.166 Å
α = 90.00°, β = 90.00°, γ = 90.02°
Sites, in units of the cell vectors:
1 Te 0.500 0.000 0.500
2 Tc 0.500 0.500 0.000
3 Tc 0.000 0.000 0.000
4 Cr 0.000 0.500 0.500

Below is an optimized crystal structure of CrTc2Te, with properties calculated at the PBE-GGA level.

**Formation energy from raw total energies**: 476 meV/atom
**SG**: Pmmm, No. 47

a = 3.131 Å, b = 4.468 Å, c = 4.421 Å
α = 90.00°, β = 90.00°, γ = 90.00°
Sites, in units of the cell vectors:
1 Te 0.500 0.000 0.500
2 Tc 0.500 0.500 0.000
3 Tc 0.000 0.000 0.000
4 Cr 0.000 0.500 0.500